Version i
Material: AlCdBr
Method: DFT, PBE
State: relaxed

```
AlCdBr
1.0
-0.9303 -1.2081 -4.8552
0.8679 -4.7332 -1.6556
-3.9078 -3.0465 -1.1602
Cd Br Al
1 1 1
Direct
0.5000 0.5000 0.5000
0.0000 0.0000 0.0000
0.2500 0.2500 0.2500
```

Output
Space-group type   F-43m (216)
N(E_F)   0.3 states/eV/f.u.



Version ii
Material: AlCdBr
Method: DFT, PBE
State: relaxed

```
AlCdBr
1.0
-2.2561 -5.6191 2.1093
-0.9575 -5.7303 -2.7129
3.9171 4.9858 0.9543
Br Cd Al
1 1 1
Direct
0.3520 0.3520 0.0000
0.6432 0.6432 0.0000
0.0047 0.0047 0.0000
```

Output
Space-group type   Imm2 (44)
N(E_F)   1.5 states/eV/f.u.



Most stable: version ii. Least stable: version i.



Version i
Material: AlCdSe2Br
Method: DFT, PBE
State: relaxed

```
AlCdSe2Br
1.0
5.2312 0.0000 0.0000
0.0000 5.2312 0.0000
0.0000 0.0000 5.7000
Al Br Se Cd
1 1 2 1
Direct
0.5000 0.5000 0.5000
0.0000 0.0000 0.5000
0.0000 0.5000 0.0000
0.5000 0.0000 0.0000
0.0000 0.0000 0.0000
```

Output
Space-group type   P4/mmm (123)
N(E_F)   7.0 states/eV/f.u.



Version ii
Material: AlCdSe2Br
Method: DFT, PBE
State: relaxed

```
AlCdSe2Br
1.0
5.0119 0.0000 0.0000
0.0000 5.0119 0.0000
0.0000 0.0000 4.9566
Br Al Cd Se
1 1 1 2
Direct
0.0000 0.0000 0.5000
0.0000 0.0000 0.0000
0.5000 0.5000 0.5000
0.5000 0.0000 0.0000
0.0000 0.5000 0.0000
```

Output
Space-group type   P4/mmm (123)
N(E_F)   1.7 states/eV/f.u.



Most stable: version ii. Least stable: version i.



Version i
Material: Ce2AlBr
Method: DFT, PBE
State: relaxed

```
Ce2AlBr
1.0
-2.4708 -1.4654 1.9343
2.1665 -2.5756 0.8161
2.6441 4.3351 6.6617
Ce Al Br
2 1 1
Direct
0.0000 0.0000 0.2398
0.0000 0.0000 0.7602
0.5000 0.5000 0.0000
0.5000 0.5000 0.5000
```

Output
Space-group type   P4/mmm (123)
N(E_F)   11.0 states/eV/f.u.



Version ii
Material: Ce2AlBr
Method: DFT, PBE
State: relaxed

```
Ce2AlBr
1.0
4.3198 0.0000 0.0000
2.1599 3.7410 0.0000
2.1599 1.2470 7.0134
Ce Al Br
2 1 1
Direct
0.7504 0.7504 0.7487
0.2496 0.2496 0.2513
0.0000 0.0000 0.0000
0.5000 0.5000 0.5000
```

Output
Space-group type   R-3m (166)
N(E_F)   12.2 states/eV/f.u.



Most stable: version i. Least stable: version ii.



Version i
Material: AlBrCl
Method: DFT, PBE
State: relaxed

```
AlBrCl
1.0
3.9135 0.0000 0.0000
-1.9567 3.3892 0.0000
0.0000 0.0000 6.8392
Cl Al Br
1 1 1
Direct
0.6667 0.3333 0.7959
0.0000 0.0000 0.9887
0.3333 0.6667 0.2155
```

Output
Space-group type   P3m1 (156)
N(E_F)   2.2 states/eV/f.u.



Version ii
Material: AlBrCl
Method: DFT, PBE
State: relaxed

```
AlBrCl
1.0
-5.2994 2.7795 5.6982
-2.4067 0.4621 7.2275
-0.2998 3.9979 0.0624
Cl Br Al
1 1 1
Direct
0.3828 0.3828 0.6172
0.6215 0.6215 0.3785
0.9958 0.9958 0.0042
```

Output
Space-group type   Fmm2 (42)
N(E_F)   1.2 states/eV/f.u.



Most stable: version i. Least stable: version ii.



Version i
Material: AlBrCl
Method: DFT, PBE
State: relaxed

```
AlBrCl
1.0
-2.0829 -4.1409 -0.7804
1.5189 -2.7769 -3.4750
2.2636 -3.9955 1.0032
Al Cl Br
1 1 1
Direct
0.2500 0.2500 0.2500
0.5000 0.5000 0.5000
0.0000 0.0000 0.0000
```

Output
Space-group type   F-43m (216)
N(E_F)   1.8 states/eV/f.u.



Version ii
Material: AlBrCl
Method: DFT, PBE
State: relaxed

```
AlBrCl
1.0
-5.9545 3.0425 -3.1900
-6.4841 -1.7304 -3.1386
5.1443 -0.5137 5.3067
Al Cl Br
1 1 1
Direct
0.0033 0.0033 0.0000
0.6100 0.6100 0.0000
0.3867 0.3867 0.0000
```

Output
Space-group type   I4mm (107)
N(E_F)   1.4 states/eV/f.u.



Most stable: version i. Least stable: version ii.



Version i
Material: Al3BrCl
Method: DFT, PBE
State: relaxed

```
Al3BrCl
1.0
-4.1184 -3.5942 0.3712
2.9346 -3.6555 -2.8358
2.1080 -1.9329 4.6730
Al Br Cl
3 1 1
Direct
0.0000 0.0000 0.5000
0.0000 0.5000 0.0000
0.5000 0.0000 0.0000
0.5000 0.5000 0.5000
0.0000 0.0000 0.0000
```

Output
Space-group type   Pm-3m (221)
N(E_F)   1.5 states/eV/f.u.



Version ii
Material: Al3BrCl
Method: DFT, PBE
State: relaxed

```
Al3BrCl
1.0
5.7246 0.0000 0.0000
0.0000 5.7246 0.0000
0.0000 0.0000 5.7246
Al Br Cl
3 1 1
Direct
0.0000 0.5000 0.0000
0.0000 0.0000 0.5000
0.5000 0.0000 0.0000
0.0000 0.0000 0.0000
0.5000 0.5000 0.5000
```

Output
Space-group type   Pm-3m (221)
N(E_F)   1.7 states/eV/f.u.



Most stable: version i. Least stable: version ii.



Version i
Material: AlCoBr2
Method: DFT, PBE
State: relaxed

```
AlCoBr2
1.0
3.3133 0.0000 0.0000
0.0000 3.3133 0.0000
0.0000 0.0000 7.9582
Br Co Al
2 1 1
Direct
0.0000 0.0000 0.4513
0.0000 0.0000 0.0487
0.5000 0.5000 0.2500
0.5000 0.5000 0.7500
```

Output
Space-group type   P4/mmm (123)
N(E_F)   3.3 states/eV/f.u.



Version ii
Material: AlCoBr2
Method: DFT, PBE
State: relaxed

```
AlCoBr2
1.0
3.6231 0.0000 0.0000
0.0000 7.1842 1.0027
0.0000 5.1610 5.1844
Br Co Al
2 1 1
Direct
0.0000 0.3730 0.3709
0.0000 0.1270 0.1291
0.5000 0.2500 0.2500
0.5000 0.7500 0.7500
```

Output
Space-group type   P2/m (10)
N(E_F)   3.1 states/eV/f.u.



Version iii
Material: AlCoBr2
Method: DFT, PBE
State: relaxed

```
AlCoBr2
1.0
-2.4765 0.4405 2.3925
-3.9318 -3.5824 -3.4101
1.3418 -3.3887 2.0129
Br Co Al
2 1 1
Direct
0.0000 0.0000 0.0000
0.5000 0.5000 0.0000
0.5000 0.0000 0.5000
0.0000 0.5000 0.5000
```

Output
Space-group type   Pmmm (47)
N(E_F)   5.3 states/eV/f.u.



Most stable: version ii. Least stable: version iii.



Version i
Material: AlCoBr2
Method: DFT, PBE
State: relaxed

```
AlCoBr2
1.0
-4.3494 -0.0484 -1.3536
-2.6135 -3.0734 -2.1156
-3.9636 -3.6549 5.4802
Br Al Co
2 1 1
Direct
0.1236 0.1236 0.3760
0.9820 0.9820 0.8740
0.8405 0.8405 0.6251
0.5540 0.5540 0.6249
```

Output
Space-group type   Cm (8)
N(E_F)   3.4 states/eV/f.u.



Version ii
Material: AlCoBr2
Method: DFT, PBE
State: relaxed

```
AlCoBr2
1.0
6.2459 0.1496 0.0231
1.5872 6.0427 0.0231
1.6816 1.3293 2.4776
Br Co Al
2 1 1
Direct
0.5000 0.5000 0.0000
0.0000 0.0000 0.0000
0.5000 0.0000 0.5000
0.0000 0.5000 0.5000
```

Output
Space-group type   C2/m (12)
N(E_F)   4.2 states/eV/f.u.



Version iii
Material: AlCoBr2
Method: DFT, PBE
State: relaxed

```
AlCoBr2
1.0
-9.0374 -0.4450 -1.2552
-8.1850 -3.9074 -1.0894
-8.6939 -2.0486 1.9154
Al Co Br
1 1 2
Direct
0.0000 0.0000 0.0000
0.5000 0.5000 0.5000
0.1101 0.1101 0.1101
0.8899 0.8899 0.8899
```

Output
Space-group type   R-3m (166)
N(E_F)   8.9 states/eV/f.u.



Most stable: version i. Least stable: version ii.



Version i
Material: AlCo2Br
Method: DFT, PBE
State: relaxed

```
AlCo2Br
1.0
3.0341 0.0497 0.0000
-0.0497 3.0341 0.0000
0.0000 0.0000 7.3785
Al Br Co
1 1 2
Direct
0.0000 0.0000 0.3926
0.5000 0.5000 0.8290
0.0000 0.0000 0.0399
0.5000 0.5000 0.2385
```

Output
Space-group type   P4mm (99)
N(E_F)   4.2 states/eV/f.u.



Version ii
Material: AlCo2Br
Method: DFT, PBE
State: relaxed

```
AlCo2Br
1.0
-2.8673 -3.2789 -0.2099
-0.3619 -2.7963 3.3265
-3.5615 0.0535 2.5158
Al Br Co
1 1 2
Direct
0.5000 0.5000 0.5000
0.7500 0.7500 0.7500
0.0000 0.0000 0.0000
0.2500 0.2500 0.2500
```

Output
Space-group type   F-43m (216)
N(E_F)   7.5 states/eV/f.u.



Most stable: version i. Least stable: version ii.



Version i
Material: AlCoBr3
Method: DFT, PBE
State: relaxed

```
AlCoBr3
1.0
5.0652 0.0000 0.0000
0.0000 5.0652 0.0000
0.0000 0.0000 5.0652
Al Co Br
1 1 3
Direct
0.5000 0.5000 0.5000
0.0000 0.0000 0.0000
0.0000 0.5000 0.0000
0.5000 0.0000 0.0000
0.0000 0.0000 0.5000
```

Output
Space-group type   Pm-3m (221)
N(E_F)   7.7 states/eV/f.u.



Version ii
Material: AlCoBr3
Method: DFT, PBE
State: relaxed

```
AlCoBr3
1.0
-2.2357 1.5273 -4.3824
-4.4878 -1.9509 1.6095
-1.1825 4.5164 2.1772
Br Al Co
3 1 1
Direct
0.5000 0.0000 0.0000
0.0000 0.5000 0.0000
0.0000 0.0000 0.5000
0.0000 0.0000 0.0000
0.5000 0.5000 0.5000
```

Output
Space-group type   Pm-3m (221)
N(E_F)   7.5 states/eV/f.u.



Most stable: version i. Least stable: version ii.



Version i
Material: AlCo2Br2
Method: DFT, PBE
State: relaxed

```
AlCo2Br2
1.0
7.6879 0.0000 0.0000
0.0000 7.6879 0.0000
0.0000 0.0000 3.0843
Br Co Al
4 4 2
Direct
0.6441 0.1441 0.0000
0.3559 0.8559 0.0000
0.1441 0.3559 0.0000
0.8559 0.6441 0.0000
0.6813 0.8187 0.5000
0.3187 0.1813 0.5000
0.8187 0.3187 0.5000
0.1813 0.6813 0.5000
0.5000 0.5000 0.0000
0.0000 0.0000 0.0000
```

Output
Space-group type   P4/mbm (127)
N(E_F)   5.7 states/eV/f.u.



Version ii
Material: AlCo2Br2
Method: DFT, PBE
State: relaxed

```
AlCo2Br2
1.0
3.4418 0.0000 0.0000
0.0000 3.4418 0.0000
1.7209 1.7209 8.7087
Co Al Br
2 1 2
Direct
0.7500 0.2500 0.5000
0.2500 0.7500 0.5000
0.0000 0.0000 0.0000
0.3616 0.3616 0.2768
0.6384 0.6384 0.7232
```

Output
Space-group type   I4/mmm (139)
N(E_F)   6.9 states/eV/f.u.



Version iii
Material: AlCo2Br2
Method: DFT, PBE
State: relaxed

```
AlCo2Br2
1.0
-4.2940 -4.4039 -2.2576
2.2705 0.9027 -6.0794
3.0743 -3.3325 0.6534
Br Co Al
4 4 2
Direct
0.6868 0.1868 0.5000
0.3132 0.8132 0.5000
0.8132 0.6868 0.5000
0.1868 0.3132 0.5000
0.3740 0.8740 0.0000
0.1260 0.3740 0.0000
0.6260 0.1260 0.0000
0.8740 0.6260 0.0000
0.0000 0.0000 0.0000
0.5000 0.5000 0.0000
```

Output
Space-group type   P4/mbm (127)
N(E_F)   7.7 states/eV/f.u.



Version iv
Material: AlCo2Br2
Method: DFT, PBE
State: relaxed

```
AlCo2Br2
1.0
-2.8206 1.0324 4.1315
-4.2564 -0.8383 -2.6964
-3.4429 -3.4451 1.6679
Al Co Br
1 2 2
Direct
0.0000 0.0000 0.0000
0.6692 0.6692 0.6616
0.3308 0.3308 0.3384
0.2500 0.7500 0.5000
0.7500 0.2500 0.5000
```

Output
Space-group type   I4/mmm (139)
N(E_F)   3.9 states/eV/f.u.



Most stable: version iii. Least stable: version i.



Version i
Material: AlCoBr
Method: DFT, PBE
State: relaxed

```
AlCoBr
1.0
-1.4605 -3.8671 0.9155
3.9740 1.0557 1.0091
-0.9979 1.0477 2.8338
Co Br Al
1 1 1
Direct
0.3333 0.6667 0.4996
0.6667 0.3333 0.5001
0.0000 0.0000 0.0002
```

Output
Space-group type   P-6m2 (187)
N(E_F)   2.2 states/eV/f.u.



Version ii
Material: AlCoBr
Method: DFT, PBE
State: relaxed

```
AlCoBr
1.0
4.1865 0.0000 0.0000
2.0933 3.6256 0.0000
2.0933 1.2085 3.4183
Al Br Co
1 1 1
Direct
0.0000 0.0000 0.0000
0.5000 0.5000 0.5000
0.2500 0.2500 0.2500
```

Output
Space-group type   F-43m (216)
N(E_F)   1.6 states/eV/f.u.



Most stable: version ii. Least stable: version i.